CeYCuPd: optimized geometry, PBE.

VASP energy = -5.841 eV per atom
Size of the total moment = 0.772 μB/f.u.
DOS(E_F) = 29.64 states/eV/cell

a b c (Å): 7.0860 7.0860 7.0860
angles (deg): 90.00 90.00 90.00
With the nearest neighbours (Å) after each atom.
Space group F-43m (No. 216)
One atom of each set of equivalent atoms:
1 Ce 0.0000 0.0000 0.0000  4 Cu 3.07, 4 Pd 3.07
2 Y 0.0000 0.0000 0.5000  4 Pd 3.07, 4 Cu 3.07
3 Cu 0.2500 0.2500 0.2500  4 Y 3.07, 4 Ce 3.07
4 Pd 0.2500 0.2500 0.7500  4 Ce 3.07, 4 Y 3.07